[1]
First-principles (PBE-GGA) data for AcGe12Pt4 after structural relaxation, as listed in OQMD via LeMat-Bulk.

Crystal system: cubic
Space-group type: Im-3
Spin magnetization (μB/f.u.): 0.0
Energy (eV/atom): -5.35

Lattice parameters (Å, degrees): 7.582 7.582 7.582 109.47 109.47 109.47
Fractional positions:
Ge  0.152  0.356  0.508
Pt  0.000  0.500  0.000
Ge  0.205  0.848  0.356
Ge  0.356  0.205  0.848
Ge  0.848  0.356  0.205
Ge  0.644  0.492  0.848
Ge  0.644  0.795  0.152
Ge  0.356  0.508  0.152
Ge  0.152  0.644  0.795
Ge  0.795  0.152  0.644
Ge  0.508  0.152  0.356
Pt  0.000  0.000  0.500
Pt  0.500  0.000  0.000
Ge  0.492  0.848  0.644
Pt  0.500  0.500  0.500
Ac  0.000  0.000  0.000
Ge  0.848  0.644  0.492


[2]
First-principles (PBE-GGA) data for AcGe2Pt2 after structural relaxation, as listed in OQMD via LeMat-Bulk.

Crystal system: tetragonal
Space-group type: P4/nmm
Spin magnetization (μB/f.u.): 0.0
Energy (eV/atom): -6.03

Lattice parameters (Å, degrees): 4.520 4.520 10.108 90.00 90.00 90.00
Fractional positions:
Ac  0.500  0.000  0.748
Ge  0.000  0.000  0.500
Ge  0.500  0.500  0.500
Ac  0.000  0.500  0.252
Pt  0.500  0.000  0.376
Pt  0.000  0.000  0.000
Pt  0.500  0.500  0.000
Pt  0.000  0.500  0.624
Ge  0.000  0.500  0.875
Ge  0.500  0.000  0.125